K2NaSnHg6 (PBE-GGA, optimized geometry); VASP energy = -0.98 eV/atom; DOS(E_F) = 6.5 states/eV/f.u.; formation energy = -4 kJ per mole of atoms
1.0
-7.823 0.282 2.343
-2.355 -1.458 -7.687
-4.981 -6.269 -1.628
K Na Sn Hg
2 1 1 6
direct
0.250 0.750 0.500
0.750 0.250 0.500
0.500 0.500 0.000
0.000 0.000 0.000
0.253 0.747 0.000
0.747 0.747 0.000
0.253 0.253 0.493
0.747 0.253 0.000
0.253 0.253 0.000
0.747 0.747 0.507

***

KNaSn2Hg (PBE-GGA, optimized geometry); VASP energy = -2.35 eV/atom; DOS(E_F) = 1.9 states/eV/f.u.; formation energy = -20 kJ per mole of atoms
1.0
4.603 0.000 0.000
0.000 5.259 0.000
-2.301 -2.629 6.611
K Na Sn Hg
1 1 2 1
direct
0.439 0.439 0.878
0.182 0.682 0.363
0.700 0.200 0.400
0.057 0.057 0.115
0.834 0.834 0.669

***

KNaSn2Hg4 (PBE-GGA, optimized geometry); VASP energy = -1.61 eV/atom; DOS(E_F) = 2.0 states/eV/f.u.; formation energy = -15 kJ per mole of atoms
1.0
-3.644 3.232 1.357
-3.041 -1.105 3.886
4.375 5.423 8.257
K Na Sn Hg
1 1 2 4
direct
0.000 0.000 0.000
0.500 0.500 0.500
0.762 0.762 0.714
0.238 0.238 0.286
0.394 0.394 0.817
0.872 0.872 0.383
0.128 0.128 0.617
0.606 0.606 0.183

***

KNa2SnHg (PBE-GGA, optimized geometry); VASP energy = -1.67 eV/atom; DOS(E_F) = 2.8 states/eV/f.u.; formation energy = -6 kJ per mole of atoms
1.0
5.998 0.000 0.000
0.000 5.998 0.000
0.000 0.000 5.720
Na K Hg Sn
2 1 1 1
direct
0.000 0.500 0.000
0.500 0.000 0.000
0.500 0.500 0.500
0.000 0.000 0.500
0.000 0.000 0.000

***

KNaSr2Hg (PBE-GGA, optimized geometry); VASP energy = -1.28 eV/atom; DOS(E_F) = 3.2 states/eV/f.u.; formation energy = -6 kJ per mole of atoms
1.0
6.362 0.000 0.000
0.000 6.362 0.000
0.000 0.000 6.586
Sr K Hg Na
2 1 1 1
direct
0.000 0.500 0.000
0.500 0.000 0.000
0.000 0.000 0.500
0.000 0.000 0.000
0.500 0.500 0.500

***

KNaSr2Hg (PBE-GGA, optimized geometry); VASP energy = -1.32 eV/atom; DOS(E_F) = 3.3 states/eV/f.u.; formation energy = -10 kJ per mole of atoms
1.0
6.416 0.000 0.000
0.000 6.416 0.000
0.000 0.000 6.102
Sr K Hg Na
2 1 1 1
direct
0.000 0.500 0.000
0.500 0.000 0.000
0.500 0.500 0.500
0.000 0.000 0.000
0.000 0.000 0.500

***

K2NaTcHg (PBE-GGA, optimized geometry); VASP energy = -1.68 eV/atom; DOS(E_F) = 5.5 states/eV/f.u.; formation energy = 111 kJ per mole of atoms
1.0
-0.882 -3.830 -4.936
0.918 -4.317 3.186
-6.156 -0.316 1.345
Na K Hg Tc
1 2 1 1
direct
0.000 0.000 0.000
0.000 0.000 0.500
0.500 0.000 0.000
0.000 0.500 0.000
0.500 0.500 0.500

***

KNa2TcHg (PBE-GGA, optimized geometry); VASP energy = -1.49 eV/atom; DOS(E_F) = 7.3 states/eV/f.u.; formation energy = 134 kJ per mole of atoms
1.0
5.696 0.000 0.000
0.000 5.825 0.000
0.000 0.000 5.696
Na K Hg Tc
2 1 1 1
direct
0.000 0.000 0.500
0.500 0.000 0.000
0.000 0.000 0.000
0.000 0.500 0.000
0.500 0.500 0.500